VASP calculation (PBE) on a relaxed Pa2Al2Ga crystal.

Output
- energy relative to the elements (eV/atom) = -0.214
- total energy (eV/atom) = -6.115
- crystal system = monoclinic

Geometry as CIF:
```
data_Pa2Al2Ga
_cell_length_a 10.293
_cell_length_b 4.562
_cell_length_c 9.302
_cell_angle_alpha 90.00
_cell_angle_beta 107.76
_cell_angle_gamma 90.00
_symmetry_space_group_name_H-M 'C 1 2/m 1'
_symmetry_Int_Tables_number 12
loop_
_symmetry_equiv_pos_as_xyz
'x,y,z'
'-x,-y,-z'
'-x,y,-z'
'x,-y,z'
'x+1/2,y+1/2,z'
'-x+1/2,-y+1/2,-z'
'-x+1/2,y+1/2,-z'
'x+1/2,-y+1/2,z'
loop_
_atom_site_label
_atom_site_type_symbol
_atom_site_fract_x
_atom_site_fract_y
_atom_site_fract_z
Pa1 Pa 0.070 0.000 0.362
Pa2 Pa 0.176 0.000 0.056
Al1 Al 0.011 0.500 0.861
Al2 Al 0.121 0.500 0.604
Ga1 Ga 0.247 0.000 0.702
```